(1)
## PmAg2Br8 (PBE)

Data for PmAg2Br8 after structural relaxation.

Properties
magnetic moment: 0.0000 μB per atom
SG: I422

a b c (Å): 7.401 7.401 8.237
angles (deg): 116.70 116.70 90.00
Fractional positions:
Br: 0.435 0.925 0.224
Br: 0.211 0.075 0.776
Ag: 0.250 0.750 0.500
Br: 0.299 0.435 0.224
Br: 0.565 0.701 0.776
Pm: 0.500 0.500 0.000
Ag: 0.750 0.250 0.500
Br: 0.925 0.789 0.224
Br: 0.789 0.299 0.224
Br: 0.075 0.565 0.776
Br: 0.701 0.211 0.776

***

(2)
## PmPrAgBr (PBE)

Data for PmPrAgBr after structural relaxation.

Properties
magnetic moment: 0.0002 μB per atom
SG: F-43m

a b c (Å): 5.332 5.332 5.332
angles (deg): 60.00 60.00 60.00
Fractional positions:
Pm: 0.000 0.000 0.000
Pr: 0.500 0.500 0.500
Ag: 0.750 0.750 0.750
Br: 0.250 0.250 0.250

***

(3)
## RbPm2AgBr8 (PBE)

Data for RbPm2AgBr8 after structural relaxation.

Properties
magnetic moment: 0.0000 μB per atom
SG: P-1

a b c (Å): 7.315 7.193 8.905
angles (deg): 90.02 89.95 82.60
Fractional positions:
Br: 0.377 0.288 0.500
Ag: 0.000 0.000 0.000
Br: 0.840 0.261 0.215
Br: 0.160 0.738 0.216
Br: 0.840 0.262 0.784
Br: 0.366 0.278 0.000
Pm: 0.500 0.500 0.241
Br: 0.623 0.712 0.500
Br: 0.634 0.722 0.000
Rb: 0.000 0.000 0.500
Pm: 0.500 0.500 0.759
Br: 0.160 0.739 0.785

***

Table of formation energy (no corrections) (eV/atom), in record order: -0.73, -0.49, -1.56